Density functional theory data (PBE with a Hubbard U) for crystalline CdMoN2O at its relaxed geometry.

```
CdMoN2O
1.0
-4.200 0.163 0.212
-0.224 -0.313 -4.191
-0.144 -4.112 0.315
Mo N O Cd
1 2 1 1
Cartesian
-2.284 -2.131 -1.832 Mo
-0.112 -0.157 -2.095 N
-2.100 0.082 0.106 N
-0.072 -2.056 0.157 O
0.000 0.000 0.000 Cd
```

Output
Spin magnetization, μB per formula unit: 1.35
E, eV/atom: -4.318